## Nd3InRh (PBE)

Data for crystalline Nd3InRh at its relaxed geometry.

Unit cell a=4.0780 b=8.3389 c=9.4097 alpha=74.59 beta=77.49 gamma=75.85
Element x y z (fractional)
Rh: 0.2309 0.6170 0.9212
Rh: 0.7691 0.3830 0.0788
Nd: 0.5858 0.7780 0.0504
Nd: 0.4142 0.2220 0.9496
Nd: 0.8320 0.0382 0.2978
Nd: 0.1680 0.9618 0.7022
Nd: 0.1353 0.4472 0.2821
In: 0.4265 0.7199 0.4272
In: 0.5735 0.2801 0.5728
Nd: 0.8647 0.5528 0.7179

Calculated values
ΔE to the lowest computed polymorph (meV/atom): 21



## Nd3In2Rh (PBE)

Data for crystalline Nd3In2Rh at its relaxed geometry.

Unit cell a=7.9917 b=6.8198 c=8.1182 alpha=84.34 beta=80.32 gamma=54.13
Element x y z (fractional)
Nd: 0.6754 0.0000 0.8268
In: 0.0000 0.0000 0.0000
Nd: 0.9024 0.6393 0.2337
Nd: 0.3246 0.0000 0.1732
Rh: 0.2827 0.4345 0.0000
In: 0.8703 0.2594 0.5000
Nd: 0.4583 0.6393 0.7663
In: 0.5000 0.0000 0.5000
Rh: 0.7173 0.5655 0.0000
Nd: 0.0976 0.3607 0.7663
In: 0.1297 0.7406 0.5000
Nd: 0.5417 0.3607 0.2337



Number 1: calculated density 7.32 g/cm3, DFT formation energy -0.448 eV per atom. Number 2: calculated density 7.19 g/cm3, DFT formation energy -0.410 eV per atom.